a:
First-principles (GGA-PBE) data for a relaxed HoHPt crystal, as listed in Alexandria.

Cell and atoms, written as POSCAR:
```
HoHPt
1.0
3.942 0.000 0.000
-1.971 3.414 0.000
0.000 0.000 3.546
Ho H Pt
1 1 1
direct
0.000 0.000 0.000 Ho
0.667 0.333 0.503 H
0.333 0.667 0.500 Pt
```

Output
Spin magnetization = 0.0 Bohr magnetons per cell



b:
First-principles (GGA-PBE) data for a relaxed HoHPt crystal, as listed in Alexandria.

Cell and atoms, written as POSCAR:
```
HoHPt
1.0
3.784 0.000 0.000
0.000 10.471 0.000
0.000 0.000 4.677
Ho H Pt
4 4 4
direct
0.000 0.137 0.250 Ho
0.000 0.863 0.750 Ho
0.500 0.363 0.750 Ho
0.500 0.637 0.250 Ho
0.000 0.100 0.750 H
0.000 0.900 0.250 H
0.500 0.400 0.250 H
0.500 0.600 0.750 H
0.000 0.411 0.250 Pt
0.000 0.589 0.750 Pt
0.500 0.089 0.750 Pt
0.500 0.911 0.250 Pt
```

Output
Spin magnetization = 0.0 Bohr magnetons per cell



c:
First-principles (GGA-PBE) data for a relaxed HoHPt crystal, as listed in Alexandria.

Cell and atoms, written as POSCAR:
```
HoHPt
1.0
0.000 4.486 6.520
3.986 0.000 6.520
3.986 4.486 0.000
Ho H Pt
4 4 4
direct
0.097 0.653 0.097 Ho
0.347 0.903 0.347 Ho
0.653 0.097 0.653 Ho
0.903 0.347 0.903 Ho
0.000 0.000 0.000 H
0.000 0.000 0.500 H
0.000 0.500 0.000 H
0.500 0.000 0.000 H
0.267 0.267 0.483 Pt
0.483 0.483 0.267 Pt
0.517 0.517 0.733 Pt
0.733 0.733 0.517 Pt
```

Output
Spin magnetization = 0.0 Bohr magnetons per cell



Relative stability in eV/atom, measured from the most stable structure: a 0.252; b 0.000; c 0.399



a:
First-principles (GGA-PBE) data for a relaxed Ho2PuH crystal, as listed in Alexandria.

Cell and atoms, written as POSCAR:
```
Ho2PuH
1.0
3.412 0.000 0.000
-1.706 2.955 0.000
0.000 0.000 27.703
Ho Pu H
6 3 3
direct
0.000 0.000 0.118 Ho
0.000 0.000 0.882 Ho
0.333 0.667 0.549 Ho
0.333 0.667 0.785 Ho
0.667 0.333 0.215 Ho
0.667 0.333 0.451 Ho
0.000 0.000 0.000 Pu
0.333 0.667 0.667 Pu
0.667 0.333 0.333 Pu
0.000 0.000 0.500 H
0.333 0.667 0.167 H
0.667 0.333 0.833 H
```

Output
Spin magnetization = 18.6 Bohr magnetons per cell



b:
First-principles (GGA-PBE) data for a relaxed Ho2PuH crystal, as listed in Alexandria.

Cell and atoms, written as POSCAR:
```
Ho2PuH
1.0
3.239 0.000 0.000
0.000 3.239 0.000
0.000 0.000 8.408
Ho Pu H
2 1 1
direct
0.000 0.000 0.195 Ho
0.000 0.000 0.805 Ho
0.500 0.500 0.500 Pu
0.500 0.500 0.000 H
```

Output
Spin magnetization = 5.8 Bohr magnetons per cell



Relative stability in eV/atom, measured from the most stable structure: a 0.000; b 0.093